DFT (GGA-PBE) results for PrAl2Ag2 after structural relaxation.

abc: 4.476 4.476 10.620
angles: 90.00 90.00 90.00
Positions (direct):
Pr 0.000 0.000 0.000
Pr 0.500 0.500 0.500
Al 0.000 0.000 0.380
Al 0.000 0.000 0.620
Al 0.500 0.500 0.120
Al 0.500 0.500 0.880
Ag 0.000 0.500 0.250
Ag 0.000 0.500 0.750
Ag 0.500 0.000 0.250
Ag 0.500 0.000 0.750

Values from the calculation:
The value obtained for the total energy is -3.94 eV per atom. The energy of formation comes out at -0.344 eV per atom. The calculation puts the energy above the most stable polymorph in this dataset at 2 kJ/mol of formula units.

***

DFT (GGA-PBE) results for Er2TmAlS6 after structural relaxation.

abc: 7.050 7.050 7.050
angles: 56.38 56.38 56.38
Positions (direct):
Er 0.000 0.000 0.000
Er 0.498 0.498 0.498
Tm 0.202 0.202 0.202
Al 0.698 0.698 0.698
S 0.064 0.435 0.807
S 0.328 0.906 0.592
S 0.435 0.807 0.064
S 0.592 0.328 0.906
S 0.807 0.064 0.435
S 0.906 0.592 0.328

Values from the calculation:
The value obtained for the total energy is -5.97 eV per atom. As for the formation energy (no corrections): -1755 meV/atom.

***

DFT (GGA-PBE) results for BaLi7Tl5 after structural relaxation.

abc: 7.761 7.761 7.761
angles: 132.09 98.46 100.52
Positions (direct):
Ba 0.000 0.000 0.000
Li 0.231 0.504 0.727
Li 0.340 0.989 0.351
Li 0.345 0.345 0.000
Li 0.637 0.989 0.649
Li 0.648 0.648 0.000
Li 0.777 0.504 0.273
Li 0.781 0.281 0.500
Tl 0.186 0.686 0.500
Tl 0.517 0.010 0.019
Tl 0.517 0.498 0.508
Tl 0.991 0.010 0.492
Tl 0.991 0.498 0.981

Values from the calculation:
The value obtained for the total energy is -2.29 eV per atom. The energy of formation comes out at -0.197 eV per atom.

***

DFT (GGA-PBE) results for Cr2B2Cl after structural relaxation.

abc: 2.854 2.854 12.400
angles: 90.00 90.00 90.00
Positions (direct):
Cr 0.000 0.000 0.119
Cr 0.000 0.000 0.881
Cr 0.500 0.500 0.381
Cr 0.500 0.500 0.619
B 0.000 0.500 0.250
B 0.000 0.500 0.750
B 0.500 0.000 0.250
B 0.500 0.000 0.750
Cl 0.000 0.000 0.500
Cl 0.500 0.500 0.000

Values from the calculation:
The value obtained for the total energy is -6.64 eV per atom. As for the formation energy (no corrections): 249 meV/atom. The calculation puts the energy above the most stable polymorph in this dataset at 0 kJ/mol of formula units.

***

DFT (GGA-PBE) results for SrSbOs2 after structural relaxation.

abc: 7.801 7.801 6.030
angles: 90.00 90.00 90.00
Positions (direct):
Sr 0.000 0.000 0.000
Sr 0.000 0.500 0.250
Sr 0.500 0.000 0.750
Sr 0.500 0.500 0.500
Sb 0.000 0.000 0.500
Sb 0.000 0.500 0.750
Sb 0.500 0.000 0.250
Sb 0.500 0.500 0.000
Os 0.189 0.250 0.625
Os 0.250 0.689 0.875
Os 0.250 0.811 0.375
Os 0.311 0.250 0.125
Os 0.689 0.750 0.125
Os 0.750 0.189 0.375
Os 0.750 0.311 0.875
Os 0.811 0.750 0.625

Values from the calculation:
The value obtained for the total energy is -6.02 eV per atom. As for the formation energy (no corrections): 1042 meV/atom.

***

DFT (GGA-PBE) results for LiNF6 after structural relaxation.

abc: 5.084 8.744 4.975
angles: 90.00 91.09 90.00
Positions (direct):
Li 0.000 0.000 0.000
Li 0.500 0.500 0.000
N 0.000 0.000 0.500
N 0.500 0.500 0.500
F 0.127 0.128 0.689
F 0.127 0.872 0.689
F 0.246 0.500 0.681
F 0.254 0.000 0.319
F 0.373 0.372 0.311
F 0.373 0.628 0.311
F 0.627 0.372 0.689
F 0.627 0.628 0.689
F 0.746 0.000 0.681
F 0.754 0.500 0.319
F 0.873 0.128 0.311
F 0.873 0.872 0.311

Values from the calculation:
The value obtained for the total energy is -3.33 eV per atom. As for the formation energy (no corrections): -643 meV/atom. The calculation puts the energy above the most stable polymorph in this dataset at 0 kJ/mol of formula units.

***

DFT (GGA-PBE) results for PaFe2TcP2 after structural relaxation.

abc: 3.955 3.955 6.282
angles: 90.00 90.00 120.00
Positions (direct):
Pa 0.000 0.000 0.000
Fe 0.333 0.667 0.705
Fe 0.667 0.333 0.295
Tc 0.000 0.000 0.500
P 0.333 0.667 0.305
P 0.667 0.333 0.695

Values from the calculation:
The value obtained for the total energy is -8.54 eV per atom. The energy of formation comes out at -0.605 eV per atom.

***

DFT (GGA-PBE) results for InRePt2 after structural relaxation.

abc: 2.912 2.912 7.832
angles: 90.00 90.00 90.00
Positions (direct):
In 0.000 0.000 0.000
Re 0.500 0.500 0.727
Pt 0.000 0.000 0.512
Pt 0.500 0.500 0.252

Values from the calculation:
The value obtained for the total energy is -6.80 eV per atom. The energy of formation comes out at 0.018 eV per atom.

***

Please write out number 4 again, unchanged.
DFT (GGA-PBE) results for Cr2B2Cl after structural relaxation.

abc: 2.854 2.854 12.400
angles: 90.00 90.00 90.00
Positions (direct):
Cr 0.000 0.000 0.119
Cr 0.000 0.000 0.881
Cr 0.500 0.500 0.381
Cr 0.500 0.500 0.619
B 0.000 0.500 0.250
B 0.000 0.500 0.750
B 0.500 0.000 0.250
B 0.500 0.000 0.750
Cl 0.000 0.000 0.500
Cl 0.500 0.500 0.000

Values from the calculation:
The value obtained for the total energy is -6.64 eV per atom. As for the formation energy (no corrections): 249 meV/atom. The calculation puts the energy above the most stable polymorph in this dataset at 0 kJ/mol of formula units.